Compound: TbMgSn6
Source: Alexandria
Functional: PBE-GGA
Structure: optimized geometry

POSCAR file:
```
TbMgSn6
1.0
6.7537 0.0000 0.0000
0.0000 6.7537 0.0000
0.0000 0.0000 4.5386
Tb Mg Sn
1 1 6
Cartesian
0.0000 0.0000 0.0000 Tb
3.3769 3.3769 0.0000 Mg
0.0000 3.3769 0.0000 Sn
1.7719 1.7719 2.2693 Sn
1.7719 4.9818 2.2693 Sn
3.3769 0.0000 0.0000 Sn
4.9818 1.7719 2.2693 Sn
4.9818 4.9818 2.2693 Sn
```

Values from the calculation:
DFT formation energy: -235 meV/atom